## CoCu2Pt (GGA-PBE)

Data for CoCu2Pt after structural relaxation.

Summary:
crystal system	monoclinic
space group	P2/m
M_tot	1.7	μB/cell
formation enthalpy at 0 K	0.0478	eV/atom

Unit cell a=2.611 b=4.385 c=4.542 alpha=90.00 beta=92.65 gamma=90.00
Fractional positions:
Co  0.000  0.000  0.000
Cu  0.238  0.500  0.759
Cu  0.762  0.500  0.241
Pt  0.500  0.000  0.500

## ErFeRe (GGA-PBE)

Data for ErFeRe after structural relaxation.

Summary:
crystal system	orthorhombic
ΔE to the lowest computed polymorph	0.000	eV per atom
space group	Imma
M_tot	3.3	μB/cell
formation enthalpy at 0 K	-0.1425	eV/atom

Unit cell a=5.284 b=5.284 c=5.284 alpha=121.60 beta=120.08 gamma=88.55
Fractional positions:
Er  0.374  0.124  0.250
Er  0.626  0.876  0.750
Fe  0.000  0.500  0.500
Fe  0.500  0.500  0.000
Re  0.000  0.000  0.500
Re  0.000  0.500  0.000